The following is a DFT calculation (PBE) of a relaxed Be2AsBr crystal.

Lattice parameters (Å, degrees): 3.6858 3.6858 6.5645 106.23 106.23 59.98
Last column: nearest neighbours and their distance in Å.
Atoms (fractional coordinates):
Be1 0.8676 0.8676 0.1002  1 Br 2.18, 3 As 2.32
Be2 0.6324 0.6324 0.3998  1 Br 2.18, 3 As 2.32
As1 0.2500 0.2500 0.2500  6 Be 2.32
Br1 0.7500 0.7500 0.7500  2 Be 2.18

Properties
- Formation energy without anion corrections: -221.7 meV/atom
- Calculated total energy: -14.66 eV/f.u.
- E above lowest polymorph: 0.076 eV/atom
- Crystal system: monoclinic

The following is a DFT calculation (PBE) of a relaxed BeAsBr crystal.

Lattice parameters (Å, degrees): 3.8539 3.8539 4.8693 90.00 90.00 120.00
Last column: nearest neighbours and their distance in Å.
Atoms (fractional coordinates):
Be1 0.3333 0.6667 0.1673  3 As 2.23
As1 0.0000 0.0000 0.1663  3 Be 2.23
Br1 0.6667 0.3333 0.6664  6 Be 3.29-3.30, 6 As 3.30

Properties
- Formation energy without anion corrections: 179.8 meV/atom
- Calculated total energy: -9.51 eV/f.u.
- E above lowest polymorph: 0.735 eV/atom
- Crystal system: hexagonal

The following is a DFT calculation (PBE) of a relaxed BeAsBr2 crystal.

Lattice parameters (Å, degrees): 5.0014 4.9350 4.9992 65.34 79.84 114.67
Last column: nearest neighbours and their distance in Å.
Atoms (fractional coordinates):
Be1 0.5000 0.5000 0.0000  4 Br 2.68
As1 0.0000 0.5000 0.5000  4 Br 2.68
Br1 0.0000 0.0000 0.0000  2 As 2.68, 2 Be 2.68
Br2 0.5000 0.0000 0.5000  2 Be 2.68, 2 As 2.68

Properties
- Formation energy without anion corrections: 426.1 meV/atom
- Calculated total energy: -10.02 eV/f.u.
- E above lowest polymorph: 0.662 eV/atom
- Crystal system: orthorhombic

The following is a DFT calculation (PBE) of a relaxed BeAs2Br crystal.

Lattice parameters (Å, degrees): 3.3836 3.3836 8.6408 90.00 90.00 90.00
Last column: nearest neighbours and their distance in Å.
Atoms (fractional coordinates):
Be1 0.0000 0.0000 0.5124  1 As 2.24
As1 0.0000 0.0000 0.2526  1 Be 2.24
As2 0.5000 0.5000 0.1315  4 As 2.61
Br1 0.5000 0.5000 0.6035  4 Be 2.52

Properties
- Formation energy without anion corrections: 59.7 meV/atom
- Calculated total energy: -14.46 eV/f.u.
- E above lowest polymorph: 0.144 eV/atom
- Crystal system: tetragonal

The following is a DFT calculation (PBE) of a relaxed BeAsBr2 crystal.

Lattice parameters (Å, degrees): 4.9262 4.9280 3.4181 90.00 90.00 89.81
Last column: nearest neighbours and their distance in Å.
Atoms (fractional coordinates):
Be1 0.0000 0.5000 0.5000  8 Br 3.00
As1 0.5000 0.0000 0.5000  8 Br 3.00
Br1 0.0000 0.0000 0.0000  4 As 3.00, 4 Be 3.00
Br2 0.5000 0.5000 0.0000  4 Be 3.00, 4 As 3.00

Properties
- Formation energy without anion corrections: 785.1 meV/atom
- Calculated total energy: -8.58 eV/f.u.
- E above lowest polymorph: 1.021 eV/atom
- Crystal system: orthorhombic

The following is a DFT calculation (PBE) of a relaxed BeAs2Br crystal.

Lattice parameters (Å, degrees): 3.3664 3.3664 9.1398 90.00 90.00 120.50
Last column: nearest neighbours and their distance in Å.
Atoms (fractional coordinates):
Be1 0.0000 0.0000 0.4874  2 Br 2.22, 2 As 2.47
As1 0.0000 0.0000 0.0758  2 As 2.57
As2 0.5000 0.5000 0.2888  2 Be 2.47, 2 As 2.57
Br1 0.5000 0.5000 0.6480  2 Be 2.22

Properties
- Formation energy without anion corrections: 207.2 meV/atom
- Calculated total energy: -13.87 eV/f.u.
- E above lowest polymorph: 0.291 eV/atom
- Crystal system: orthorhombic

The following is a DFT calculation (PBE) of a relaxed BeAs2Br crystal.

Lattice parameters (Å, degrees): 3.1024 3.1024 8.6769 90.00 90.00 90.00
Last column: nearest neighbours and their distance in Å.
Atoms (fractional coordinates):
Be1 0.5000 0.5000 0.2500  8 As 2.53
As1 0.0000 0.0000 0.1045  1 As 2.52, 4 Be 2.53
As2 0.0000 0.0000 0.3955  1 As 2.52, 4 Be 2.53
Br1 0.5000 0.5000 0.7500  4 Br 3.10

Properties
- Formation energy without anion corrections: 237.4 meV/atom
- Calculated total energy: -13.75 eV/f.u.
- E above lowest polymorph: 0.322 eV/atom
- Crystal system: tetragonal

The following is a DFT calculation (PBE) of a relaxed Be2AsBr crystal.

Lattice parameters (Å, degrees): 5.2366 6.7057 3.1707 102.60 63.74 134.94
Last column: nearest neighbours and their distance in Å.
Atoms (fractional coordinates):
Be1 0.0000 0.0000 0.0000  2 As 2.39, 2 Br 2.39
Be2 0.0000 0.5000 0.5000  2 Br 2.39, 2 As 2.39
As1 0.5000 0.0000 0.5000  4 Be 2.39
Br1 0.5000 0.5000 0.0000  4 Be 2.39

Properties
- Formation energy without anion corrections: 357.8 meV/atom
- Calculated total energy: -12.34 eV/f.u.
- E above lowest polymorph: 0.655 eV/atom
- Crystal system: monoclinic

Q: Among the records above, which one has the highest E above lowest polymorph?
A: number 5

Q: What is the formula in the second record?
A: BeAsBr

Copy entry 2 word for word.
The following is a DFT calculation (PBE) of a relaxed BeAsBr crystal.

Lattice parameters (Å, degrees): 3.8539 3.8539 4.8693 90.00 90.00 120.00
Last column: nearest neighbours and their distance in Å.
Atoms (fractional coordinates):
Be1 0.3333 0.6667 0.1673  3 As 2.23
As1 0.0000 0.0000 0.1663  3 Be 2.23
Br1 0.6667 0.3333 0.6664  6 Be 3.29-3.30, 6 As 3.30

Properties
- Formation energy without anion corrections: 179.8 meV/atom
- Calculated total energy: -9.51 eV/f.u.
- E above lowest polymorph: 0.735 eV/atom
- Crystal system: hexagonal